Here is a relaxed LiTiVF6 crystal from Alexandria via LeMat-Bulk. Energies are from PBE+U.

a = 5.3063 Å, b = 5.3063 Å, c = 9.0833 Å
α = 90.00°, β = 90.00°, γ = 120.00°
With the nearest neighbours (Å) after each atom.
Positions (direct):
1 Li 0.0000 0.0000 0.0000  6 F 2.16
2 Li 0.0000 0.0000 0.5000  6 F 2.16
3 Ti 0.3333 0.6667 0.2500  6 F 2.00
4 Ti 0.6667 0.3333 0.7500  6 F 2.00
5 V 0.3333 0.6667 0.7500  6 F 2.12
6 V 0.6667 0.3333 0.2500  6 F 2.12
7 F 0.0162 0.3483 0.1306  1 Ti 2.00, 1 V 2.12, 1 Li 2.16
8 F 0.0162 0.6679 0.3694  1 Ti 2.00, 1 V 2.12, 1 Li 2.16
9 F 0.3321 0.3483 0.3694  1 Ti 2.00, 1 V 2.12, 1 Li 2.16
10 F 0.3321 0.9838 0.1306  1 Ti 2.00, 1 V 2.12, 1 Li 2.16
11 F 0.3483 0.0162 0.6306  1 Ti 2.00, 1 V 2.12, 1 Li 2.16
12 F 0.3483 0.3321 0.8694  1 Ti 2.00, 1 V 2.12, 1 Li 2.16
13 F 0.6517 0.6679 0.1306  1 Ti 2.00, 1 V 2.12, 1 Li 2.16
14 F 0.6517 0.9838 0.3694  1 Ti 2.00, 1 V 2.12, 1 Li 2.16
15 F 0.6679 0.0162 0.8694  1 Ti 2.00, 1 V 2.12, 1 Li 2.16
16 F 0.6679 0.6517 0.6306  1 Ti 2.00, 1 V 2.12, 1 Li 2.16
17 F 0.9838 0.3321 0.6306  1 Ti 2.00, 1 V 2.12, 1 Li 2.16
18 F 0.9838 0.6517 0.8694  1 Ti 2.00, 1 V 2.12, 1 Li 2.16

Values from the calculation:
DFT total energy = -110.2 eV for the cell shown
N(E_F) = 0.788 states/eV/atom
V = 12.30 A^3/atom